VASP calculation (PBE-GGA) on LaTm2Sn after structural relaxation.

Output
Size of the total moment (μB per formula unit): 1.31
Density of states at the Fermi level (states/eV/cell): 20.81
Calculated total energy (eV per atom): -4.8427
ΔH_f (0 K) (meV per atom): -374

Cell and atoms, written as CIF:
```
data_LaTm2Sn
_symmetry_space_group_name_H-M 'C m c m'
_symmetry_Int_Tables_number 63
_symmetry_space_group_name_Hall '-C 2c 2'
_cell_length_a 4.3394
_cell_length_b 12.4628
_cell_length_c 9.3406
_cell_angle_alpha 90.00
_cell_angle_beta 90.00
_cell_angle_gamma 90.00
loop_
_atom_site_label
_atom_site_fract_x
_atom_site_fract_y
_atom_site_fract_z
La1 0.0000 0.0547 0.2500
Tm1 0.0000 0.3607 0.0483
Sn1 0.0000 0.2394 0.7500
```